Record 1
# CdOsCl4 | Alexandria via LeMat-Bulk | PBE | optimized geometry
# - uncorrected formation energy (meV/atom) = 1327
data_CdOsCl4
_chemical_formula_sum 'Cd4 Os4 Cl16'
_symmetry_space_group_name_H-M 'F -4 3 m'
_symmetry_Int_Tables_number 216
_symmetry_space_group_name_Hall 'F -4 2 3'
_cell_length_a 8.2457
_cell_length_b 8.2457
_cell_length_c 8.2457
_cell_angle_alpha 90.00
_cell_angle_beta 90.00
_cell_angle_gamma 90.00
loop_
_atom_site_label
_atom_site_fract_x
_atom_site_fract_y
_atom_site_fract_z
_atom_site_occupancy
Cd1 0.0000 0.0000 0.0000 1
Os1 0.2500 0.2500 0.2500 1
Cl1 0.1247 0.1247 0.6247 1

Record 2
# PuMgPd14 | Alexandria via LeMat-Bulk | PBE | optimized geometry
# - formation energy from the elements (eV/atom) = -0.26
data_PuMgPd14
_chemical_formula_sum 'Pu1 Mg1 Pd14'
_symmetry_space_group_name_H-M 'P 4/m m m'
_symmetry_Int_Tables_number 123
_symmetry_space_group_name_Hall '-P 4 2'
_cell_length_a 5.7016
_cell_length_b 5.7016
_cell_length_c 7.8888
_cell_angle_alpha 90.00
_cell_angle_beta 90.00
_cell_angle_gamma 90.00
loop_
_atom_site_label
_atom_site_fract_x
_atom_site_fract_y
_atom_site_fract_z
_atom_site_occupancy
Pu1 0.0000 0.0000 0.0000 1
Mg1 0.5000 0.5000 0.0000 1
Pd1 0.0000 0.0000 0.5000 1
Pd2 0.0000 0.5000 0.0000 1
Pd3 0.0000 0.5000 0.5000 1
Pd4 0.2516 0.2516 0.2527 1
Pd5 0.5000 0.5000 0.5000 1

Record 3
# Pm2ScHg4 | Alexandria via LeMat-Bulk | PBE | optimized geometry
# - formation energy from the elements (eV/atom) = -0.07
data_Pm2ScHg4
_chemical_formula_sum 'Pm4 Sc2 Hg8'
_symmetry_space_group_name_H-M 'I 4/m m m'
_symmetry_Int_Tables_number 139
_symmetry_space_group_name_Hall '-I 4 2'
_cell_length_a 5.4045
_cell_length_b 5.4045
_cell_length_c 15.4524
_cell_angle_alpha 90.00
_cell_angle_beta 90.00
_cell_angle_gamma 90.00
loop_
_atom_site_label
_atom_site_fract_x
_atom_site_fract_y
_atom_site_fract_z
_atom_site_occupancy
Pm1 0.0000 0.0000 0.1121 1
Sc1 0.0000 0.0000 0.5000 1
Hg1 0.0000 0.0000 0.3139 1
Hg2 0.0000 0.5000 0.0000 1

Record 4
# U3CrS6 | Alexandria via LeMat-Bulk | PBE | optimized geometry
# - uncorrected formation energy (meV/atom) = -1200
data_U3CrS6
_chemical_formula_sum 'U18 Cr6 S36'
_symmetry_space_group_name_H-M 'R -3'
_symmetry_Int_Tables_number 148
_symmetry_space_group_name_Hall '-R 3'
_cell_length_a 11.6267
_cell_length_b 11.6267
_cell_length_c 10.9253
_cell_angle_alpha 90.00
_cell_angle_beta 90.00
_cell_angle_gamma 120.00
loop_
_atom_site_label
_atom_site_fract_x
_atom_site_fract_y
_atom_site_fract_z
_atom_site_occupancy
U1 0.0478 0.7697 0.1540 1
Cr1 0.0000 0.0000 0.0000 1
Cr2 0.0000 0.0000 0.5000 1
S1 0.0309 0.8326 0.8950 1
S2 0.0520 0.8532 0.3872 1

Record 5
# KCrNiCl6 | Alexandria via LeMat-Bulk | PBE | optimized geometry
# - uncorrected formation energy (meV/atom) = -1129
data_KCrNiCl6
_chemical_formula_sum 'K1 Cr1 Ni1 Cl6'
_symmetry_space_group_name_H-M 'P 3 1 2'
_symmetry_Int_Tables_number 149
_symmetry_space_group_name_Hall 'P 3 2'
_cell_length_a 6.2137
_cell_length_b 6.2137
_cell_length_c 7.0582
_cell_angle_alpha 90.00
_cell_angle_beta 90.00
_cell_angle_gamma 120.00
loop_
_atom_site_label
_atom_site_fract_x
_atom_site_fract_y
_atom_site_fract_z
_atom_site_occupancy
K1 0.0000 0.0000 0.0000 1
Cr1 0.3333 0.6667 0.5000 1
Ni1 0.6667 0.3333 0.5000 1
Cl1 0.0057 0.3720 0.6903 1

Record 6
# SmTlCd | Alexandria via LeMat-Bulk | PBE | optimized geometry
# - formation energy from the elements (eV/atom) = -0.30
data_SmTlCd
_chemical_formula_sum 'Sm1 Tl1 Cd1'
_symmetry_space_group_name_H-M 'P 3 m 1'
_symmetry_Int_Tables_number 156
_symmetry_space_group_name_Hall 'P 3 -2"'
_cell_length_a 5.0029
_cell_length_b 5.0029
_cell_length_c 3.6999
_cell_angle_alpha 90.00
_cell_angle_beta 90.00
_cell_angle_gamma 120.00
loop_
_atom_site_label
_atom_site_fract_x
_atom_site_fract_y
_atom_site_fract_z
_atom_site_occupancy
Sm1 0.0000 0.0000 0.0000 1
Tl1 0.3333 0.6667 0.5389 1
Cd1 0.6667 0.3333 0.4761 1

Record 7
# MgCuPd | Alexandria via LeMat-Bulk | PBE | optimized geometry
# - formation energy from the elements (eV/atom) = -0.19
data_MgCuPd
_chemical_formula_sum 'Mg1 Cu1 Pd1'
_symmetry_space_group_name_H-M 'P m m m'
_symmetry_Int_Tables_number 47
_symmetry_space_group_name_Hall '-P 2 2'
_cell_length_a 2.9974
_cell_length_b 4.1477
_cell_length_c 4.4018
_cell_angle_alpha 90.00
_cell_angle_beta 90.00
_cell_angle_gamma 90.00
loop_
_atom_site_label
_atom_site_fract_x
_atom_site_fract_y
_atom_site_fract_z
_atom_site_occupancy
Mg1 0.0000 0.0000 0.0000 1
Cu1 0.0000 0.5000 0.5000 1
Pd1 0.5000 0.0000 0.5000 1

Record 8
# HoScPt | Alexandria via LeMat-Bulk | PBE | optimized geometry
# - formation energy from the elements (eV/atom) = -0.82
data_HoScPt
_chemical_formula_sum 'Ho4 Sc4 Pt4'
_symmetry_space_group_name_H-M 'C m c m'
_symmetry_Int_Tables_number 63
_symmetry_space_group_name_Hall '-C 2c 2'
_cell_length_a 4.0898
_cell_length_b 9.6731
_cell_length_c 6.8962
_cell_angle_alpha 90.00
_cell_angle_beta 90.00
_cell_angle_gamma 90.00
loop_
_atom_site_label
_atom_site_fract_x
_atom_site_fract_y
_atom_site_fract_z
_atom_site_occupancy
Ho1 0.0000 0.0000 0.0000 1
Sc1 0.0000 0.3021 0.2500 1
Pt1 0.0000 0.3749 0.7500 1

Number 1: total magnetization 5.68 μB/f.u., mass density 5.27 g/cm3. Number 2: total magnetization 3.32 μB/f.u., mass density 11.38 g/cm3. Number 3: total magnetization 0.00 μB/f.u., mass density 8.37 g/cm3. Number 4: total magnetization 9.03 μB/f.u., mass density 7.47 g/cm3. Number 5: total magnetization 4.85 μB/f.u., mass density 2.55 g/cm3. Number 6: total magnetization 0.00 μB/f.u., mass density 9.67 g/cm3. Number 7: total magnetization 0.00 μB/f.u., mass density 5.89 g/cm3. Number 8: total magnetization 0.00 μB/f.u., mass density 9.86 g/cm3.